(1)
Density functional theory data (PBE-GGA) for a relaxed MoOs2W crystal.

## Properties
Density = 18.0 g cm⁻³
M_tot = 0.00 μB per formula unit
Distance to the lowest polymorph of the same formula = 14 meV per atom
Formation energy from the elements = 0.08 eV/atom

a = 5.591 Å, b = 7.760 Å, c = 2.801 Å
α = 90.00°, β = 90.00°, γ = 90.00°
Space group Cmmm (No. 65)
Inequivalent atoms, fractional coordinates:
Mo1 0.000 0.000 0.000 [2 per cell]
Os1 0.250 0.250 0.500 [4 per cell]
W1 0.000 0.500 0.000 [2 per cell]

***

(2)
Density functional theory data (PBE-GGA) for a relaxed GaCo5S8 crystal.

## Properties
Formation energy from raw total energies = -0.4350 eV per atom
Density = 4.8 g cm⁻³
M_tot = 2.07 μB per formula unit

a = 9.512 Å, b = 9.512 Å, c = 9.512 Å
α = 90.00°, β = 90.00°, γ = 90.00°
Space group F-43m (No. 216)
Inequivalent atoms, fractional coordinates:
Ga1 0.000 0.000 0.000 [4 per cell]
Co1 0.123 0.123 0.623 [16 per cell]
Co2 0.250 0.250 0.250 [4 per cell]
S1 0.115 0.115 0.385 [16 per cell]
S2 0.140 0.140 0.860 [16 per cell]

***

(3)
Density functional theory data (PBE-GGA) for a relaxed CePr2Bi crystal.

## Properties
Density = 8.2 g cm⁻³
M_tot = 0.88 μB per formula unit
Distance to the lowest polymorph of the same formula = 66 meV per atom
Formation energy from the elements = -0.33 eV/atom

a = 4.159 Å, b = 4.159 Å, c = 7.417 Å
α = 90.00°, β = 90.00°, γ = 90.00°
Space group P4/mmm (No. 123)
Inequivalent atoms, fractional coordinates:
Ce1 0.000 0.000 0.000 [1 per cell]
Pr1 0.500 0.500 0.271 [2 per cell]
Bi1 0.000 0.000 0.500 [1 per cell]

***

(4)
Density functional theory data (PBE-GGA) for a relaxed Zr2Cl13 crystal.

## Properties
Formation energy from raw total energies = -1.0592 eV per atom
Density = 1.9 g cm⁻³
M_tot = 1.02 μB per formula unit

a = 7.736 Å, b = 8.458 Å, c = 9.509 Å
α = 107.33°, β = 103.62°, γ = 96.05°
Space group P-1 (No. 2)
Inequivalent atoms, fractional coordinates:
Zr1 0.098 0.148 0.296 [2 per cell]
Cl1 0.000 0.000 0.000 [1 per cell]
Cl2 0.070 0.846 0.332 [2 per cell]
Cl3 0.200 0.266 0.582 [2 per cell]
Cl4 0.207 0.828 0.720 [2 per cell]
Cl5 0.252 0.393 0.279 [2 per cell]
Cl6 0.350 0.976 0.289 [2 per cell]
Cl7 0.441 0.600 0.005 [2 per cell]

***

(5)
Density functional theory data (PBE-GGA) for a relaxed SrTaBr2 crystal.

## Properties
Formation energy from raw total energies = 0.0031 eV per atom
Density = 6.5 g cm⁻³
M_tot = 1.50 μB per formula unit
Distance to the lowest polymorph of the same formula = 336 meV per atom

a = 3.413 Å, b = 4.818 Å, c = 6.671 Å
α = 90.00°, β = 90.00°, γ = 90.00°
Space group Pmmm (No. 47)
Inequivalent atoms, fractional coordinates:
Sr1 0.000 0.000 0.000 [1 per cell]
Ta1 0.500 0.000 0.500 [1 per cell]
Br1 0.000 0.500 0.500 [1 per cell]
Br2 0.500 0.500 0.000 [1 per cell]

***

(6)
Density functional theory data (PBE-GGA) for a relaxed Zn7SnN6 crystal.

## Properties
Formation energy from raw total energies = 0.1795 eV per atom
Density = 5.4 g cm⁻³
M_tot = 0.00 μB per formula unit

a = 10.850 Å, b = 6.033 Å, c = 12.475 Å
α = 90.00°, β = 90.00°, γ = 90.00°
Space group Pbcn (No. 60)
Inequivalent atoms, fractional coordinates:
Zn1 0.000 0.090 0.250 [4 per cell]
Zn2 0.035 0.267 0.042 [8 per cell]
Zn3 0.207 0.136 0.574 [8 per cell]
Zn4 0.243 0.152 0.846 [8 per cell]
Sn1 0.000 0.399 0.750 [4 per cell]
N1 0.073 0.351 0.349 [8 per cell]
N2 0.133 0.155 0.718 [8 per cell]
N3 0.183 0.149 0.996 [8 per cell]

***

(7)
Density functional theory data (PBE-GGA) for a relaxed KTl2Bi crystal.

## Properties
Density = 8.1 g cm⁻³
M_tot = 0.00 μB per formula unit
Distance to the lowest polymorph of the same formula = 6 meV per atom
Formation energy from the elements = -0.20 eV/atom

a = 8.138 Å, b = 8.138 Å, c = 8.138 Å
α = 90.00°, β = 90.00°, γ = 90.00°
Space group Fm-3m (No. 225)
Inequivalent atoms, fractional coordinates:
K1 0.000 0.000 0.000 [4 per cell]
Tl1 0.250 0.250 0.250 [8 per cell]
Bi1 0.000 0.000 0.500 [4 per cell]